## PmDy2Ag3S6 (PBE)

Data for PmDy2Ag3S6 after structural relaxation.

The structure in CIF format:
```
data_PmDy2Ag3S6
_cell_length_a 15.531
_cell_length_b 4.089
_cell_length_c 9.555
_cell_angle_alpha 90.00
_cell_angle_beta 105.50
_cell_angle_gamma 90.00
_space_group_name_H-M_alt 'C 1 2/m 1'
_space_group_IT_number 12
_space_group_name_Hall '-C 2y'
loop_
_atom_site_label
_atom_site_fract_x
_atom_site_fract_y
_atom_site_fract_z
Pm1 0.000 0.000 0.000
Dy1 0.166 0.500 0.337
Ag1 0.000 0.000 0.500
Ag2 0.173 0.500 0.942
S1 0.011 0.500 0.801
S2 0.157 0.000 0.521
S3 0.186 0.000 0.145
```

- volume (Å³ per cell) = 584.73
- uncorrected energy (eV per atom) = -5.24
- density of states at the Fermi level (states/eV per atom) = 0.000
- energy relative to the elements, uncorrected (eV/atom) = -1.2960
- mass density (g cm⁻³) = 5.60

---

## BaZrP (PBE)

Data for BaZrP after structural relaxation.

The structure in CIF format:
```
data_BaZrP
_cell_length_a 6.918
_cell_length_b 6.918
_cell_length_c 6.918
_cell_angle_alpha 90.00
_cell_angle_beta 90.00
_cell_angle_gamma 90.00
_space_group_name_H-M_alt 'F -4 3 m'
_space_group_IT_number 216
_space_group_name_Hall 'F -4 2 3'
loop_
_atom_site_label
_atom_site_fract_x
_atom_site_fract_y
_atom_site_fract_z
Ba1 0.000 0.000 0.000
Zr1 0.000 0.000 0.500
P1 0.250 0.250 0.250
```

- volume (Å³ per cell) = 331.16
- uncorrected energy (eV per atom) = -5.38
- formation enthalpy at 0 K (meV/atom) = -82
- relative energy among the computed polymorphs (meV/atom) = 801
- density of states at the Fermi level (states/eV per atom) = 0.791
- mass density (g cm⁻³) = 5.21

---

## Ce2HoIr9 (PBE)

Data for Ce2HoIr9 after structural relaxation.

The structure in CIF format:
```
data_Ce2HoIr9
_cell_length_a 5.3074
_cell_length_b 5.3074
_cell_length_c 26.6005
_cell_angle_alpha 90.00
_cell_angle_beta 90.00
_cell_angle_gamma 120.00
_space_group_name_H-M_alt 'R -3 m'
_space_group_IT_number 166
_space_group_name_Hall '-R 3 2"'
loop_
_atom_site_label
_atom_site_fract_x
_atom_site_fract_y
_atom_site_fract_z
Ce1 0.0000 0.0000 0.1389
Ho1 0.0000 0.0000 0.0000
Ir1 0.0000 0.0000 0.3328
Ir2 0.0000 0.0000 0.5000
Ir3 0.0006 0.5003 0.9181
```

- volume (Å³ per cell) = 648.92
- uncorrected energy (eV per atom) = -8.60
- formation enthalpy at 0 K (meV/atom) = -584
- density of states at the Fermi level (states/eV per atom) = 0.909
- mass density (g cm⁻³) = 16.70